# 1
Compound: AlAuSe2
Source: Alexandria via LeMat-Bulk
Functional: PBE
Structure: relaxed

Values from the calculation:
**Total moment**: 0.00 μB per formula unit
**DFT total energy**: -63.98 eV for the cell shown
**Raw formation energy**: -0.5012 eV/atom

```
data_AlAuSe2
_chemical_formula_sum 'Al4 Au4 Se8'
_symmetry_space_group_name_H-M 'C 1 2 1'
_symmetry_Int_Tables_number 5
_cell_length_a 11.7999
_cell_length_b 6.5286
_cell_length_c 7.8591
_cell_angle_alpha 90.00
_cell_angle_beta 129.29
_cell_angle_gamma 90.00
loop_
_symmetry_equiv_pos_as_xyz
'x,y,z'
'-x,y,-z'
'x+1/2,y+1/2,z'
'-x+1/2,y+1/2,-z'
loop_
_atom_site_label
_atom_site_fract_x
_atom_site_fract_y
_atom_site_fract_z
Al1 0.1373 0.0000 0.0115
Au1 0.1591 0.6275 0.1953
Se1 0.1254 0.9630 0.3129
Se2 0.1595 0.3714 0.9615
```

***

# 2
Compound: Al2AuSe
Source: Alexandria via LeMat-Bulk
Functional: PBE
Structure: relaxed

Values from the calculation:
**Total moment**: 0.00 μB per formula unit
**DFT total energy**: -28.69 eV for the cell shown
**Raw formation energy**: -0.0243 eV/atom
**N(E_F)**: 0.26 states/eV per atom

```
data_Al2AuSe
_chemical_formula_sum 'Al4 Au2 Se2'
_symmetry_space_group_name_H-M 'C m m 2'
_symmetry_Int_Tables_number 35
_cell_length_a 3.6733
_cell_length_b 5.4648
_cell_length_c 7.9656
_cell_angle_alpha 90.00
_cell_angle_beta 90.00
_cell_angle_gamma 90.00
loop_
_symmetry_equiv_pos_as_xyz
'x,y,z'
'-x,-y,z'
'-x,y,z'
'x,-y,z'
'x+1/2,y+1/2,z'
'-x+1/2,-y+1/2,z'
'-x+1/2,y+1/2,z'
'x+1/2,-y+1/2,z'
loop_
_atom_site_label
_atom_site_fract_x
_atom_site_fract_y
_atom_site_fract_z
Al1 0.0000 0.0000 0.0000
Al2 0.0000 0.5000 0.2673
Au1 0.0000 0.5000 0.7830
Se1 0.0000 0.0000 0.4711
```

***

# 3
Compound: AlAuSe2
Source: Alexandria via LeMat-Bulk
Functional: PBE
Structure: relaxed

Values from the calculation:
**Total moment**: 0.00 μB per formula unit
**DFT total energy**: -60.02 eV for the cell shown
**Raw formation energy**: -0.2541 eV/atom
**N(E_F)**: 0.15 states/eV per atom

```
data_AlAuSe2
_chemical_formula_sum 'Al4 Au4 Se8'
_symmetry_space_group_name_H-M 'I 4/m c m'
_symmetry_Int_Tables_number 140
_symmetry_space_group_name_Hall '-I 4 2c'
_cell_length_a 7.6084
_cell_length_b 7.6084
_cell_length_c 6.0769
_cell_angle_alpha 90.00
_cell_angle_beta 90.00
_cell_angle_gamma 90.00
loop_
_atom_site_label
_atom_site_fract_x
_atom_site_fract_y
_atom_site_fract_z
Al1 0.0000 0.5000 0.2500
Au1 0.0000 0.0000 0.2500
Se1 0.1753 0.3247 0.0000
```

***

# 4
Compound: AlAuSe2
Source: Alexandria via LeMat-Bulk
Functional: PBE
Structure: relaxed

Values from the calculation:
**Total moment**: 0.00 μB per formula unit
**DFT total energy**: -251.29 eV for the cell shown
**Raw formation energy**: -0.4291 eV/atom
**N(E_F)**: 0.00 states/eV per atom

```
data_AlAuSe2
_chemical_formula_sum 'Al16 Au16 Se32'
_symmetry_space_group_name_H-M 'C 1 2/c 1'
_symmetry_Int_Tables_number 15
_cell_length_a 10.5488
_cell_length_b 11.8269
_cell_length_c 12.5309
_cell_angle_alpha 90.00
_cell_angle_beta 95.86
_cell_angle_gamma 90.00
loop_
_symmetry_equiv_pos_as_xyz
'x,y,z'
'-x,-y,-z'
'-x,y,-z+1/2'
'x,-y,z+1/2'
'x+1/2,y+1/2,z'
'-x+1/2,-y+1/2,-z'
'-x+1/2,y+1/2,-z+1/2'
'x+1/2,-y+1/2,z+1/2'
loop_
_atom_site_label
_atom_site_fract_x
_atom_site_fract_y
_atom_site_fract_z
Al1 0.1198 0.2478 0.3884
Al2 0.2457 0.1700 0.8991
Au1 0.1267 0.0622 0.7169
Au2 0.1408 0.4872 0.6379
Se1 0.0000 0.1108 0.2500
Se2 0.0000 0.3989 0.2500
Se3 0.0732 0.2602 0.9870
Se4 0.1994 0.2634 0.7283
Se5 0.2409 0.0959 0.5073
```